Entry 1:
3
Lattice="-0.546 -2.562 3.627 -3.137 -3.191 0.034 1.193 -4.311 -0.106" Properties=species:S:1:pos:R:3 comment="KNbCo | OQMD via LeMat-Bulk | PBE-GGA | optimized geometry" spacegroup="No. 216" e_above_lowest_polymorph_mev_per_atom=1013 rho_g_cm3=5.0 crystal_system=cubic pbc="T T T"
Co -1.867 -7.548 2.666
K 0.000 0.000 0.000
Nb -0.622 -2.516 0.889

Entry 2:
12
Lattice="4.344 0.000 0.000 2.172 8.073 0.000 0.000 0.000 11.714" Properties=species:S:1:pos:R:3 comment="KNdCoTe3 | OQMD via LeMat-Bulk | PBE-GGA | optimized geometry" spacegroup="No. 63" e_above_lowest_polymorph_mev_per_atom=21 rho_g_cm3=5.1 crystal_system=orthorhombic pbc="T T T"
Co 4.344 7.630 2.928
Co 2.172 0.443 8.785
K 2.172 3.971 2.928
K 4.344 4.102 8.785
Nd 0.000 0.000 0.000
Nd 0.000 0.000 5.857
Te 4.344 5.992 0.914
Te 4.344 1.114 2.928
Te 4.344 5.992 4.943
Te 2.172 2.081 6.771
Te 2.172 6.959 8.785
Te 2.172 2.081 10.800

Entry 3:
24
Lattice="11.870 0.000 0.000 0.000 4.372 0.000 0.000 0.000 15.550" Properties=species:S:1:pos:R:3 comment="KNdCoTe3 | OQMD via LeMat-Bulk | PBE-GGA | optimized geometry" spacegroup="No. 62" e_above_lowest_polymorph_mev_per_atom=22 rho_g_cm3=5.1 crystal_system=orthorhombic pbc="T T T"
Co 3.125 1.093 3.370
Co 9.060 1.093 4.405
Co 2.810 3.279 11.145
Co 8.745 3.279 12.180
K 8.496 1.093 0.094
K 2.562 1.093 7.681
K 9.308 3.279 7.869
K 3.373 3.279 15.456
Nd 0.211 3.279 3.702
Nd 6.146 3.279 4.073
Nd 5.724 1.093 11.477
Nd 11.659 1.093 11.847
Te 1.165 1.093 1.665
Te 5.284 1.093 1.951
Te 9.043 3.279 2.872
Te 3.108 3.279 4.903
Te 11.219 1.093 5.824
Te 7.100 1.093 6.110
Te 4.770 3.279 9.440
Te 0.651 3.279 9.726
Te 8.762 1.093 10.647
Te 2.827 1.093 12.678
Te 6.586 3.279 13.599
Te 10.705 3.279 13.885

Entry 4:
12
Lattice="9.991 0.000 0.000 0.000 4.315 0.000 -3.052 0.000 9.595" Properties=species:S:1:pos:R:3 comment="KNdCoTe3 | OQMD via LeMat-Bulk | PBE-GGA | optimized geometry" spacegroup="No. 11" e_above_lowest_polymorph_mev_per_atom=0 rho_g_cm3=5.0 crystal_system=monoclinic pbc="T T T"
Co 2.974 3.237 3.942
Co 3.966 1.079 5.653
K 6.264 1.079 2.254
K 0.675 3.237 7.341
Nd 1.284 1.079 1.379
Nd 5.655 3.237 8.215
Te 3.574 3.237 1.415
Te 8.995 3.237 1.761
Te 1.705 1.079 4.576
Te 5.234 3.237 5.019
Te -2.055 1.079 7.833
Te 3.365 1.079 8.179

Entry 5:
3
Lattice="-0.689 2.834 2.834 2.834 -0.689 2.834 2.834 2.834 -0.689" Properties=species:S:1:pos:R:3 comment="KCoNi | OQMD via LeMat-Bulk | PBE-GGA | optimized geometry" spacegroup="No. 160" e_above_lowest_polymorph_mev_per_atom=0 rho_g_cm3=4.2 crystal_system=trigonal pbc="T T T"
Co 1.869 1.869 1.869
K 4.945 4.945 4.945
Ni 3.141 3.141 3.141

Entry 6:
12
Lattice="1.919 -7.796 0.000 1.919 7.796 0.000 0.000 0.000 10.255" Properties=species:S:1:pos:R:3 comment="KCoNiTe3 | OQMD via LeMat-Bulk | PBE-GGA | optimized geometry" spacegroup="No. 63" dft_energy_ev_per_atom=-4.145 rho_g_cm3=5.8 crystal_system=orthorhombic pbc="T T T"
Co 0.000 0.000 0.000
Co 0.000 0.000 5.128
K 1.919 4.058 2.564
K 1.919 -4.058 7.691
Ni 1.919 -0.604 2.564
Ni 1.919 0.604 7.691
Te 1.919 -1.705 0.354
Te 1.919 -6.811 2.564
Te 1.919 -1.705 4.773
Te 1.919 1.705 5.482
Te 1.919 6.811 7.691
Te 1.919 1.705 9.901

Entry 7:
3
Lattice="-3.863 -2.564 2.393 -3.751 2.652 2.474 -4.831 0.134 -1.967" Properties=species:S:1:pos:R:3 comment="KNpCo | OQMD via LeMat-Bulk | PBE-GGA | optimized geometry" spacegroup="No. 216" e_above_lowest_polymorph_mev_per_atom=0 rho_g_cm3=5.5 crystal_system=cubic pbc="T T T"
Co 0.000 0.000 0.000
K -3.111 0.056 0.725
Np -9.334 0.167 2.175